10
Lattice="-5.0395 5.0395 3.2233 5.0395 -5.0395 3.2233 5.0395 5.0395 -3.2233" Properties=species:S:1:pos:R:3 comment="Th5Bi4Os, relaxed, DFT GGA-PBE" energy_ev_per_atom=-7.003 crystal_system=tetragonal rho_g_cm3=11.1 pbc="T T T"
Th 0.0000 0.0000 0.0000
Th 4.0917 2.4219 0.0000
Th 2.6176 -0.9477 3.2233
Th 2.4219 5.9872 0.0000
Th 0.9477 2.6176 3.2233
Bi 6.9426 0.8536 0.0000
Bi 0.8536 3.1363 0.0000
Bi 4.1858 1.9032 3.2233
Bi -1.9032 4.1858 3.2233
Os 0.0000 0.0000 3.2233

9
Lattice="3.9820 2.2990 6.5005 -3.9820 2.2990 6.5005 0.0000 -4.5981 6.5005" Properties=species:S:1:pos:R:3 comment="Ba6Ta2C, relaxed, DFT GGA-PBE" energy_ev_per_atom=-3.888 crystal_system=trigonal rho_g_cm3=5.6 pbc="T T T"
Ba 0.0000 -2.2329 8.1678
Ba -1.9338 1.1165 8.1678
Ba -1.9338 -1.1165 11.3337
Ba 1.9338 1.1165 8.1678
Ba 1.9338 -1.1165 11.3337
Ba 0.0000 2.2329 11.3337
Ta 0.0000 0.0000 4.8740
Ta 0.0000 0.0000 14.6276
C 0.0000 0.0000 9.7508

3
Lattice="0.0000 3.2269 3.2269 3.2269 0.0000 3.2269 3.2269 3.2269 0.0000" Properties=species:S:1:pos:R:3 comment="YNbRe, relaxed, DFT GGA-PBE" energy_ev_per_atom=-7.969 crystal_system=cubic rho_g_cm3=9.1 pbc="T T T"
Y 0.0000 0.0000 0.0000
Nb 4.8404 4.8404 4.8404
Re 1.6135 1.6135 1.6135